Entry 1:
Crystalline Th8Rh5Au at its relaxed geometry, computed with PBE.

```
14
Lattice="-6.712 -2.538 2.952 2.153 -4.753 -5.743 5.564 0.056 5.408" Properties=species:S:1:pos:R:3 pbc="T T T"
Th 6.350 -3.862 1.330
Th 4.500 -0.596 3.463
Th -2.286 -2.994 2.750
Th 1.412 -3.236 4.534
Th -0.574 -4.360 -0.700
Th 2.467 -5.722 1.662
Th 0.969 -1.695 1.235
Th 3.459 -3.879 -1.350
Rh 1.484 -1.849 -1.484
Rh -2.523 -6.379 -1.102
Rh -0.197 -4.775 2.043
Rh -0.574 -1.241 4.180
Rh 3.246 -1.467 5.776
Au 3.571 -2.969 1.923
```

Output
For the density of states at the Fermi level, the calculation gives 14.0 states/eV/cell. The calculation puts the formation enthalpy at 0 K at -716 meV/atom. Its space group is I-4 (82).


Entry 2:
Crystalline Pr7Nd5 at its relaxed geometry, computed with PBE.

```
12
Lattice="6.031 0.000 0.000 -3.016 4.905 -0.427 0.000 -2.537 14.852" Properties=species:S:1:pos:R:3 pbc="T T T"
Pr 0.000 0.723 9.761
Pr 3.016 1.645 4.665
Pr 0.000 -0.196 3.152
Pr 3.016 2.565 11.273
Pr 3.016 1.528 1.100
Pr 3.016 -1.268 7.426
Pr 0.000 0.840 13.325
Nd 0.000 0.178 6.392
Nd 3.016 2.191 8.033
Nd 0.000 3.157 2.661
Nd 3.016 -0.789 11.764
Nd 0.000 0.000 0.000
```

Output
For the density of states at the Fermi level, the calculation gives 18.0 states/eV/cell. The calculation puts the formation enthalpy at 0 K at 145 meV/atom. Its space group is C2/m (12).


Entry 3:
Crystalline Sc6Ni2Pd at its relaxed geometry, computed with PBE.

```
18
Lattice="-6.967 -3.257 -0.263 4.645 -4.286 4.389 -0.424 7.054 3.045" Properties=species:S:1:pos:R:3 pbc="T T T"
Sc -0.770 0.885 5.538
Sc -1.976 -1.374 1.633
Sc 0.282 4.302 3.669
Sc -3.027 -4.791 3.503
Sc -2.331 -1.915 4.798
Sc -0.414 1.426 2.374
Sc 1.732 2.834 6.154
Sc -4.477 -3.322 1.018
Sc -3.435 0.848 3.517
Sc 0.689 -1.336 3.654
Sc 2.153 -0.376 6.232
Sc -4.898 -0.112 0.940
Ni -2.121 2.931 4.164
Ni -0.625 -3.420 3.007
Ni -4.798 2.465 1.806
Ni -2.592 1.332 0.976
Pd 2.111 1.384 3.717
Pd 0.000 0.000 0.000
```

Output
For the density of states at the Fermi level, the calculation gives 20.4 states/eV/cell. The calculation puts the formation enthalpy at 0 K at -448 meV/atom. Its space group is Immm (71).


Entry 4:
Crystalline Ga2BrCl4 at its relaxed geometry, computed with PBE.

```
7
Lattice="-2.269 -3.758 2.334 -0.117 -2.571 -4.253 7.399 -7.044 1.148" Properties=species:S:1:pos:R:3 pbc="T T T"
Ga 3.146 -8.827 -0.562
Ga 1.866 -4.546 -0.209
Br 0.000 0.000 0.000
Cl 0.978 -7.848 -1.094
Cl 4.034 -5.524 0.323
Cl -0.059 -1.285 -2.127
Cl -1.135 -1.879 1.167
```

Output
The uncorrected formation energy is -0.270 eV/atom. For the density of states at the Fermi level, the calculation gives 6.5 states/eV/cell. Its space group is I4/mmm (139).


Entry 5:
Crystalline La2ThGe6 at its relaxed geometry, computed with PBE.

```
9
Lattice="-1.256 -0.515 -3.985 2.015 -7.394 0.321 -7.102 2.128 1.964" Properties=species:S:1:pos:R:3 pbc="T T T"
La -4.063 -1.046 1.416
La -2.281 -4.735 -3.117
Th -7.102 2.128 1.964
Ge -2.311 -1.999 -1.237
Ge -4.033 -3.782 -0.464
Ge -5.381 1.166 -0.678
Ge -6.382 -3.078 0.186
Ge 0.038 -2.703 -1.887
Ge -2.977 0.446 -1.343
```

Output
For the density of states at the Fermi level, the calculation gives 6.6 states/eV/cell. The calculation puts the formation enthalpy at 0 K at -607 meV/atom. Its space group is P6/mmm (191).


Entry 6:
Crystalline Dy2HoTmSe4 at its relaxed geometry, computed with PBE.

```
8
Lattice="4.002 0.000 0.000 0.000 7.056 -0.182 0.000 2.444 6.614" Properties=species:S:1:pos:R:3 pbc="T T T"
Dy 0.000 2.444 6.614
Dy 2.001 1.222 3.307
Ho 2.001 5.972 6.523
Tm 0.000 4.750 3.216
Se 0.000 7.100 4.820
Se 4.002 2.400 1.612
Se 2.001 5.879 1.540
Se 2.001 3.621 4.892
```

Output
The uncorrected formation energy is -1.717 eV/atom. For the density of states at the Fermi level, the calculation gives 4.6 states/eV/cell. Its space group is P2/m (10).


Entry 7:
Crystalline LiSc2P at its relaxed geometry, computed with PBE.

```
4
Lattice="-0.213 -3.443 3.083 2.168 -3.999 -0.845 3.757 -1.155 2.441" Properties=species:S:1:pos:R:3 pbc="T T T"
Li 2.856 -4.298 2.339
P 4.284 -6.447 3.509
Sc 0.000 0.000 0.000
Sc 1.428 -2.149 1.170
```

Output
For the density of states at the Fermi level, the calculation gives 4.8 states/eV/cell. The calculation puts the formation enthalpy at 0 K at -43 meV/atom. Its space group is F-43m (216).


Entry 8:
Crystalline YHgIr2 at its relaxed geometry, computed with PBE.

```
4
Lattice="-3.642 -1.541 -1.312 0.225 -2.267 2.038 -2.586 1.026 5.976" Properties=species:S:1:pos:R:3 pbc="T T T"
Hg -3.649 -1.637 5.436
Ir 0.193 -2.231 2.083
Ir -2.376 -1.120 1.296
Y -1.128 -0.682 3.931
```

Output
For the density of states at the Fermi level, the calculation gives 4.4 states/eV/cell. The calculation puts the formation enthalpy at 0 K at -50 meV/atom. Its space group is Pm (6).